Density functional theory data (PBE with a Hubbard U) for a relaxed Li5MnV3O8 crystal.

```
Li5MnV3O8
1.0
8.654 0.000 0.000
0.000 8.654 0.000
0.000 0.000 8.654
Li Mn V O
20 4 12 32
direct
0.051 0.051 0.051
0.142 0.375 0.392
0.125 0.608 0.642
0.108 0.858 0.875
0.199 0.199 0.199
0.301 0.801 0.699
0.392 0.142 0.375
0.375 0.392 0.142
0.358 0.625 0.892
0.449 0.949 0.551
0.551 0.449 0.949
0.642 0.125 0.608
0.625 0.892 0.358
0.608 0.642 0.125
0.699 0.301 0.801
0.801 0.699 0.301
0.892 0.358 0.625
0.875 0.108 0.858
0.858 0.875 0.108
0.949 0.551 0.449
0.125 0.875 0.375
0.375 0.125 0.875
0.625 0.625 0.625
0.875 0.375 0.125
0.125 0.125 0.625
0.125 0.375 0.875
0.125 0.625 0.125
0.375 0.375 0.625
0.375 0.625 0.375
0.375 0.875 0.125
0.625 0.375 0.375
0.625 0.125 0.125
0.625 0.875 0.875
0.875 0.125 0.375
0.875 0.875 0.625
0.875 0.625 0.875
0.112 0.885 0.631
0.115 0.131 0.388
0.119 0.619 0.881
0.119 0.135 0.862
0.131 0.388 0.115
0.131 0.369 0.631
0.135 0.862 0.119
0.138 0.619 0.365
0.362 0.381 0.865
0.365 0.138 0.619
0.369 0.631 0.131
0.369 0.612 0.615
0.381 0.865 0.362
0.381 0.381 0.381
0.385 0.869 0.888
0.388 0.115 0.131
0.612 0.615 0.369
0.615 0.369 0.612
0.619 0.881 0.119
0.619 0.365 0.138
0.631 0.112 0.885
0.631 0.131 0.369
0.635 0.638 0.881
0.638 0.881 0.635
0.862 0.119 0.135
0.865 0.362 0.381
0.869 0.869 0.869
0.869 0.888 0.385
0.881 0.635 0.638
0.881 0.119 0.619
0.885 0.631 0.112
0.888 0.385 0.869
```

Properties
Calculated total energy in eV/cell: -449.09
Size of the total moment in μB per formula unit: 11.0